[1]
Material: HfTcBr2
Method: DFT, PBE
State: optimized geometry

Structure (POSCAR):
```
HfTcBr2
1.0
0.338 -1.654 4.347
-1.708 2.464 3.571
-3.817 -1.475 2.236
Hf Br Tc
1 2 1
direct
0.500 0.500 0.500
0.250 0.250 0.250
0.750 0.750 0.750
0.000 0.000 0.000
```

Values from the calculation:
DOS at the Fermi energy: 5.348 states/eV/cell
ΔE_f (raw): 539 meV per atom
density: 10.1 g/cm³
space-group type: Fm-3m

[2]
Material: Cs2SrTmF6
Method: DFT, PBE
State: optimized geometry

Structure (POSCAR):
```
Cs2SrTmF6
1.0
6.680 0.000 0.000
0.000 6.767 0.000
0.000 0.000 9.424
F Cs Tm Sr
12 4 2 2
direct
0.216 0.423 0.500
0.500 0.245 0.266
0.274 0.010 0.500
0.226 0.990 0.000
0.000 0.755 0.234
0.726 0.010 0.500
0.774 0.990 0.000
0.716 0.577 0.000
0.500 0.245 0.734
0.784 0.423 0.500
0.000 0.755 0.766
0.284 0.577 0.000
0.500 0.786 0.242
0.000 0.214 0.258
0.500 0.786 0.758
0.000 0.214 0.742
0.000 0.739 0.000
0.500 0.261 0.500
0.000 0.723 0.500
0.500 0.277 0.000
```

Values from the calculation:
DOS at the Fermi energy: 4.976 states/eV/cell
ΔE_f (raw): -3282 meV per atom
density: 5.0 g/cm³
space-group type: Pmmn

[3]
Material: ZnRhAu2
Method: DFT, PBE
State: optimized geometry

Structure (POSCAR):
```
ZnRhAu2
1.0
9.122 -0.012 -0.007
8.669 2.841 -0.007
8.669 1.378 2.484
Au Zn Rh
2 1 1
direct
0.247 0.247 0.247
0.005 0.005 0.005
0.754 0.754 0.754
0.494 0.494 0.494
```

Values from the calculation:
DOS at the Fermi energy: 3.197 states/eV/cell
ΔH_f (0 K): -0.053 eV/atom
density: 14.4 g/cm³
space-group type: R3m

Question: Which of these has the highest DOS at the Fermi energy?
Answer: HfTcBr2

What did the second record say?
Material: Cs2SrTmF6
Method: DFT, PBE
State: optimized geometry

Structure (POSCAR):
```
Cs2SrTmF6
1.0
6.680 0.000 0.000
0.000 6.767 0.000
0.000 0.000 9.424
F Cs Tm Sr
12 4 2 2
direct
0.216 0.423 0.500
0.500 0.245 0.266
0.274 0.010 0.500
0.226 0.990 0.000
0.000 0.755 0.234
0.726 0.010 0.500
0.774 0.990 0.000
0.716 0.577 0.000
0.500 0.245 0.734
0.784 0.423 0.500
0.000 0.755 0.766
0.284 0.577 0.000
0.500 0.786 0.242
0.000 0.214 0.258
0.500 0.786 0.758
0.000 0.214 0.742
0.000 0.739 0.000
0.500 0.261 0.500
0.000 0.723 0.500
0.500 0.277 0.000
```

Values from the calculation:
DOS at the Fermi energy: 4.976 states/eV/cell
ΔE_f (raw): -3282 meV per atom
density: 5.0 g/cm³
space-group type: Pmmn